A plane-wave DFT calculation with GGA-PBE was carried out for an optimized crystal structure of Tb4Nd15Ho.

Lattice parameters (Å, degrees): 5.1741 5.1741 25.7527 90.00 90.00 90.00
Atoms (fractional coordinates):
Tb 0.0000 0.0000 0.1000
Tb 0.0000 0.0000 0.3002
Tb 0.0000 0.0000 0.6998
Tb 0.0000 0.0000 0.9000
Nd 0.0000 0.5000 0.0000
Nd 0.0000 0.5000 0.2000
Nd 0.0000 0.5000 0.4003
Nd 0.0000 0.5000 0.5997
Nd 0.0000 0.5000 0.8000
Nd 0.5000 0.0000 0.0000
Nd 0.5000 0.0000 0.2000
Nd 0.5000 0.0000 0.4003
Nd 0.5000 0.0000 0.5997
Nd 0.5000 0.0000 0.8000
Nd 0.5000 0.5000 0.1000
Nd 0.5000 0.5000 0.3002
Nd 0.5000 0.5000 0.5000
Nd 0.5000 0.5000 0.6998
Nd 0.5000 0.5000 0.9000
Ho 0.0000 0.0000 0.5000

Output
The calculation puts the formation energy from the elements at 0.012 eV/atom. For the size of the total moment, the calculation gives 0.00 μB per formula unit. The symmetry is No. 123.